# Sn2BiPb3 | the Alexandria database | PBE | relaxed
data_Sn2BiPb3
_chemical_formula_sum 'Sn4 Bi2 Pb6'
_symmetry_space_group_name_H-M 'P 1 21/m 1'
_symmetry_Int_Tables_number 11
_cell_length_a 6.935
_cell_length_b 5.184
_cell_length_c 10.264
_cell_angle_alpha 90.00
_cell_angle_beta 94.74
_cell_angle_gamma 90.00
loop_
_symmetry_equiv_pos_as_xyz
'x,y,z'
'-x,-y,-z'
'-x,y+1/2,-z'
'x,-y+1/2,z'
loop_
_atom_site_label
_atom_site_fract_x
_atom_site_fract_y
_atom_site_fract_z
Sn1 0.110 0.250 0.426
Sn2 0.120 0.250 0.094
Bi1 0.384 0.750 0.236
Pb1 0.102 0.250 0.757
Pb2 0.380 0.750 0.568
Pb3 0.383 0.750 0.906
# * raw total energy: -3.790 eV per atom
# * DFT formation energy: 0.045 eV/atom
# * energy above the most stable polymorph in this dataset: 0.0000 eV/atom

=====

# ScTiSn | the Alexandria database | PBE | relaxed
data_ScTiSn
_chemical_formula_sum 'Sc4 Ti4 Sn4'
_symmetry_space_group_name_H-M 'C m m m'
_symmetry_Int_Tables_number 65
_symmetry_space_group_name_Hall '-C 2 2'
_cell_length_a 10.060
_cell_length_b 10.195
_cell_length_c 3.074
_cell_angle_alpha 90.00
_cell_angle_beta 90.00
_cell_angle_gamma 90.00
loop_
_atom_site_label
_atom_site_fract_x
_atom_site_fract_y
_atom_site_fract_z
Sc1 0.235 0.000 0.000
Ti1 0.000 0.000 0.500
Ti2 0.000 0.500 0.000
Sn1 0.000 0.265 0.500
# * raw total energy: -5.735 eV per atom
# * DFT formation energy: 0.342 eV/atom

=====

# La2Ni5Ge3 | the Alexandria database | PBE | relaxed
data_La2Ni5Ge3
_chemical_formula_sum 'La8 Ni20 Ge12'
_symmetry_space_group_name_H-M 'C m c 21'
_symmetry_Int_Tables_number 36
_cell_length_a 4.066
_cell_length_b 26.309
_cell_length_c 6.607
_cell_angle_alpha 90.00
_cell_angle_beta 90.00
_cell_angle_gamma 90.00
loop_
_symmetry_equiv_pos_as_xyz
'x,y,z'
'-x,-y,z+1/2'
'-x,y,z'
'x,-y,z+1/2'
'x+1/2,y+1/2,z'
'-x+1/2,-y+1/2,z+1/2'
'-x+1/2,y+1/2,z'
'x+1/2,-y+1/2,z+1/2'
loop_
_atom_site_label
_atom_site_fract_x
_atom_site_fract_y
_atom_site_fract_z
La1 0.000 0.022 0.000
La2 0.000 0.324 0.998
Ni1 0.000 0.083 0.463
Ni2 0.000 0.209 0.863
Ni3 0.000 0.235 0.241
Ni4 0.000 0.370 0.503
Ni5 0.000 0.426 0.188
Ge1 0.000 0.122 0.792
Ge2 0.000 0.277 0.558
Ge3 0.000 0.433 0.799
# * raw total energy: -5.719 eV per atom
# * DFT formation energy: -0.458 eV/atom
# * energy above the most stable polymorph in this dataset: 0.0000 eV/atom

=====

# GaSi2HS | the Alexandria database | PBE | relaxed
data_GaSi2HS
_chemical_formula_sum 'Ga1 Si2 H1 S1'
_symmetry_space_group_name_H-M 'P 3 m 1'
_symmetry_Int_Tables_number 156
_cell_length_a 3.7771
_cell_length_b 3.7771
_cell_length_c 8.6088
_cell_angle_alpha 90.00
_cell_angle_beta 90.00
_cell_angle_gamma 120.00
loop_
_symmetry_equiv_pos_as_xyz
'x,y,z'
'-y,x-y,z'
'-x+y,-x,z'
'-y,-x,z'
'-x+y,y,z'
'x,x-y,z'
loop_
_atom_site_label
_atom_site_fract_x
_atom_site_fract_y
_atom_site_fract_z
Ga1 0.0000 0.0000 0.0000
Si1 0.0000 0.0000 0.2798
Si2 0.3333 0.6667 0.3719
H1 0.3333 0.6667 0.5464
S1 0.6667 0.3333 0.8819
# * raw total energy: -4.503 eV per atom
# * energy above the most stable polymorph in this dataset: 0.0000 eV/atom

=====

# ScCoRe3 | the Alexandria database | PBE | relaxed
data_ScCoRe3
_chemical_formula_sum 'Sc1 Co1 Re3'
_symmetry_space_group_name_H-M 'P m -3 m'
_symmetry_Int_Tables_number 221
_symmetry_space_group_name_Hall '-P 4 2 3'
_cell_length_a 4.456
_cell_length_b 4.456
_cell_length_c 4.456
_cell_angle_alpha 90.00
_cell_angle_beta 90.00
_cell_angle_gamma 90.00
loop_
_atom_site_label
_atom_site_fract_x
_atom_site_fract_y
_atom_site_fract_z
Sc1 0.000 0.000 0.000
Co1 0.500 0.500 0.500
Re1 0.000 0.500 0.500
# * raw total energy: -9.011 eV per atom
# * DFT formation energy: 1.145 eV/atom
# * energy above the most stable polymorph in this dataset: 0.0000 eV/atom

=====

# NaHfW2 | the Alexandria database | PBE | relaxed
data_NaHfW2
_chemical_formula_sum 'Na4 Hf4 W8'
_symmetry_space_group_name_H-M 'I -4 2 d'
_symmetry_Int_Tables_number 122
_symmetry_space_group_name_Hall 'I -4 2bw'
_cell_length_a 3.913
_cell_length_b 3.913
_cell_length_c 20.224
_cell_angle_alpha 90.00
_cell_angle_beta 90.00
_cell_angle_gamma 90.00
loop_
_atom_site_label
_atom_site_fract_x
_atom_site_fract_y
_atom_site_fract_z
Na1 0.000 0.000 0.000
Hf1 0.000 0.000 0.500
W1 0.226 0.250 0.625
# * raw total energy: -8.077 eV per atom
# * DFT formation energy: 1.218 eV/atom

=====

# RbSn2B | the Alexandria database | PBE | relaxed
data_RbSn2B
_chemical_formula_sum 'Rb4 Sn8 B4'
_symmetry_space_group_name_H-M 'I -4 2 d'
_symmetry_Int_Tables_number 122
_symmetry_space_group_name_Hall 'I -4 2bw'
_cell_length_a 7.241
_cell_length_b 7.241
_cell_length_c 10.161
_cell_angle_alpha 90.00
_cell_angle_beta 90.00
_cell_angle_gamma 90.00
loop_
_atom_site_label
_atom_site_fract_x
_atom_site_fract_y
_atom_site_fract_z
Rb1 0.000 0.000 0.000
Sn1 0.094 0.250 0.625
B1 0.000 0.000 0.500
# * raw total energy: -3.381 eV per atom
# * DFT formation energy: 0.531 eV/atom

=====

# KNdSnSe3 | the Alexandria database | PBE | relaxed
data_KNdSnSe3
_chemical_formula_sum 'K4 Nd4 Sn4 Se12'
_symmetry_space_group_name_H-M 'C m c m'
_symmetry_Int_Tables_number 63
_symmetry_space_group_name_Hall '-C 2c 2'
_cell_length_a 4.263
_cell_length_b 16.877
_cell_length_c 12.082
_cell_angle_alpha 90.00
_cell_angle_beta 90.00
_cell_angle_gamma 90.00
loop_
_atom_site_label
_atom_site_fract_x
_atom_site_fract_y
_atom_site_fract_z
K1 0.000 0.169 0.250
Nd1 0.000 0.500 0.000
Sn1 0.000 0.116 0.750
Se1 0.000 0.120 0.508
Se2 0.000 0.494 0.250
# * raw total energy: -4.546 eV per atom

=====

# Nd4CoNCl2 | the Alexandria database | PBE | relaxed
data_Nd4CoNCl2
_chemical_formula_sum 'Nd4 Co1 N1 Cl2'
_symmetry_space_group_name_H-M 'P 1 2/m 1'
_symmetry_Int_Tables_number 10
_cell_length_a 6.894
_cell_length_b 3.723
_cell_length_c 7.684
_cell_angle_alpha 90.00
_cell_angle_beta 107.98
_cell_angle_gamma 90.00
loop_
_symmetry_equiv_pos_as_xyz
'x,y,z'
'-x,-y,-z'
'-x,y,-z'
'x,-y,z'
loop_
_atom_site_label
_atom_site_fract_x
_atom_site_fract_y
_atom_site_fract_z
Nd1 0.209 0.000 0.191
Nd2 0.263 0.500 0.803
Co1 0.500 0.000 0.000
N1 0.000 0.500 0.000
Cl1 0.000 0.000 0.500
Cl2 0.500 0.500 0.500
# * raw total energy: -5.892 eV per atom

=====

# TaSb2Cl | the Alexandria database | PBE | relaxed
data_TaSb2Cl
_chemical_formula_sum 'Ta2 Sb4 Cl2'
_symmetry_space_group_name_H-M 'C 1 2/m 1'
_symmetry_Int_Tables_number 12
_cell_length_a 7.988
_cell_length_b 7.773
_cell_length_c 3.146
_cell_angle_alpha 90.00
_cell_angle_beta 109.81
_cell_angle_gamma 90.00
loop_
_symmetry_equiv_pos_as_xyz
'x,y,z'
'-x,-y,-z'
'-x,y,-z'
'x,-y,z'
'x+1/2,y+1/2,z'
'-x+1/2,-y+1/2,-z'
'-x+1/2,y+1/2,-z'
'x+1/2,-y+1/2,z'
loop_
_atom_site_label
_atom_site_fract_x
_atom_site_fract_y
_atom_site_fract_z
Ta1 0.000 0.000 0.000
Sb1 0.250 0.250 0.500
Cl1 0.000 0.500 0.000
# * raw total energy: -5.270 eV per atom
# * energy above the most stable polymorph in this dataset: 0.3865 eV/atom

=====

# Pa6In2C | the Alexandria database | PBE | relaxed
data_Pa6In2C
_chemical_formula_sum 'Pa12 In4 C2'
_symmetry_space_group_name_H-M 'I 4/m m m'
_symmetry_Int_Tables_number 139
_symmetry_space_group_name_Hall '-I 4 2'
_cell_length_a 6.421
_cell_length_b 6.421
_cell_length_c 10.028
_cell_angle_alpha 90.00
_cell_angle_beta 90.00
_cell_angle_gamma 90.00
loop_
_atom_site_label
_atom_site_fract_x
_atom_site_fract_y
_atom_site_fract_z
Pa1 0.000 0.000 0.237
Pa2 0.230 0.230 0.500
In1 0.000 0.500 0.250
C1 0.000 0.000 0.000
# * raw total energy: -8.060 eV per atom
# * DFT formation energy: -0.096 eV/atom

=====

# Ca2AcHg9 | the Alexandria database | PBE | relaxed
data_Ca2AcHg9
_chemical_formula_sum 'Ca2 Ac1 Hg9'
_symmetry_space_group_name_H-M 'P 4/m m m'
_symmetry_Int_Tables_number 123
_symmetry_space_group_name_Hall '-P 4 2'
_cell_length_a 4.775
_cell_length_b 4.775
_cell_length_c 14.199
_cell_angle_alpha 90.00
_cell_angle_beta 90.00
_cell_angle_gamma 90.00
loop_
_atom_site_label
_atom_site_fract_x
_atom_site_fract_y
_atom_site_fract_z
Ca1 0.000 0.000 0.159
Ac1 0.000 0.000 0.500
Hg1 0.000 0.500 0.000
Hg2 0.000 0.500 0.323
Hg3 0.500 0.500 0.158
Hg4 0.500 0.500 0.500
# * raw total energy: -1.274 eV per atom
# * DFT formation energy: -0.372 eV/atom

=====

# PmScAgRu | the Alexandria database | PBE | relaxed
data_PmScAgRu
_chemical_formula_sum 'Pm4 Sc4 Ag4 Ru4'
_symmetry_space_group_name_H-M 'F -4 3 m'
_symmetry_Int_Tables_number 216
_symmetry_space_group_name_Hall 'F -4 2 3'
_cell_length_a 6.928
_cell_length_b 6.928
_cell_length_c 6.928
_cell_angle_alpha 90.00
_cell_angle_beta 90.00
_cell_angle_gamma 90.00
loop_
_atom_site_label
_atom_site_fract_x
_atom_site_fract_y
_atom_site_fract_z
Pm1 0.000 0.000 0.000
Sc1 0.000 0.000 0.500
Ag1 0.250 0.250 0.250
Ru1 0.250 0.250 0.750
# * raw total energy: -6.071 eV per atom
# * DFT formation energy: -0.268 eV/atom

=====

# BaAsN2O | the Alexandria database | PBE | relaxed
data_BaAsN2O
_chemical_formula_sum 'Ba1 As1 N2 O1'
_symmetry_space_group_name_H-M 'P 4/m m m'
_symmetry_Int_Tables_number 123
_symmetry_space_group_name_Hall '-P 4 2'
_cell_length_a 4.720
_cell_length_b 4.720
_cell_length_c 4.344
_cell_angle_alpha 90.00
_cell_angle_beta 90.00
_cell_angle_gamma 90.00
loop_
_atom_site_label
_atom_site_fract_x
_atom_site_fract_y
_atom_site_fract_z
Ba1 0.000 0.000 0.000
As1 0.500 0.500 0.500
N1 0.000 0.500 0.000
O1 0.000 0.000 0.500
# * raw total energy: -3.807 eV per atom

=====

# Hf2MoOs2 | the Alexandria database | PBE | relaxed
data_Hf2MoOs2
_chemical_formula_sum 'Hf4 Mo2 Os4'
_symmetry_space_group_name_H-M 'I 4/m m m'
_symmetry_Int_Tables_number 139
_symmetry_space_group_name_Hall '-I 4 2'
_cell_length_a 4.226
_cell_length_b 4.226
_cell_length_c 11.149
_cell_angle_alpha 90.00
_cell_angle_beta 90.00
_cell_angle_gamma 90.00
loop_
_atom_site_label
_atom_site_fract_x
_atom_site_fract_y
_atom_site_fract_z
Hf1 0.000 0.500 0.250
Mo1 0.000 0.000 0.000
Os1 0.000 0.000 0.393
# * raw total energy: -10.044 eV per atom
# * DFT formation energy: 0.595 eV/atom
# * energy above the most stable polymorph in this dataset: 0.7567 eV/atom

=====

# TaBi3H | the Alexandria database | PBE | relaxed
data_TaBi3H
_chemical_formula_sum 'Ta1 Bi3 H1'
_symmetry_space_group_name_H-M 'P m -3 m'
_symmetry_Int_Tables_number 221
_symmetry_space_group_name_Hall '-P 4 2 3'
_cell_length_a 4.841
_cell_length_b 4.841
_cell_length_c 4.841
_cell_angle_alpha 90.00
_cell_angle_beta 90.00
_cell_angle_gamma 90.00
loop_
_atom_site_label
_atom_site_fract_x
_atom_site_fract_y
_atom_site_fract_z
Ta1 0.000 0.000 0.000
Bi1 0.000 0.500 0.500
H1 0.500 0.500 0.500
# * raw total energy: -4.511 eV per atom

=====

# La4OsN | the Alexandria database | PBE | relaxed
data_La4OsN
_chemical_formula_sum 'La8 Os2 N2'
_symmetry_space_group_name_H-M 'P m n 21'
_symmetry_Int_Tables_number 31
_cell_length_a 8.187
_cell_length_b 6.996
_cell_length_c 6.712
_cell_angle_alpha 90.00
_cell_angle_beta 90.00
_cell_angle_gamma 90.00
loop_
_symmetry_equiv_pos_as_xyz
'x,y,z'
'-x+1/2,-y,z+1/2'
'-x,y,z'
'x+1/2,-y,z+1/2'
loop_
_atom_site_label
_atom_site_fract_x
_atom_site_fract_y
_atom_site_fract_z
La1 0.000 0.150 0.000
La2 0.000 0.820 0.478
La3 0.227 0.669 0.995
Os1 0.000 0.476 0.730
N1 0.000 0.842 0.139
# * raw total energy: -6.952 eV per atom

=====

# GeBr2 | the Alexandria database | PBE | relaxed
data_GeBr2
_chemical_formula_sum 'Ge4 Br8'
_symmetry_space_group_name_H-M 'C 1 2/m 1'
_symmetry_Int_Tables_number 12
_cell_length_a 14.321
_cell_length_b 3.996
_cell_length_c 9.905
_cell_angle_alpha 90.00
_cell_angle_beta 132.46
_cell_angle_gamma 90.00
loop_
_symmetry_equiv_pos_as_xyz
'x,y,z'
'-x,-y,-z'
'-x,y,-z'
'x,-y,z'
'x+1/2,y+1/2,z'
'-x+1/2,-y+1/2,-z'
'-x+1/2,y+1/2,-z'
'x+1/2,-y+1/2,z'
loop_
_atom_site_label
_atom_site_fract_x
_atom_site_fract_y
_atom_site_fract_z
Ge1 0.108 0.000 0.263
Br1 0.061 0.500 0.859
Br2 0.178 0.000 0.575
# * raw total energy: -3.192 eV per atom

=====

# YCrCl3 | the Alexandria database | PBE | relaxed
data_YCrCl3
_chemical_formula_sum 'Y1 Cr1 Cl3'
_symmetry_space_group_name_H-M 'P m -3 m'
_symmetry_Int_Tables_number 221
_symmetry_space_group_name_Hall '-P 4 2 3'
_cell_length_a 5.312
_cell_length_b 5.312
_cell_length_c 5.312
_cell_angle_alpha 90.00
_cell_angle_beta 90.00
_cell_angle_gamma 90.00
loop_
_atom_site_label
_atom_site_fract_x
_atom_site_fract_y
_atom_site_fract_z
Y1 0.000 0.000 0.000
Cr1 0.500 0.500 0.500
Cl1 0.000 0.000 0.500
# * raw total energy: -5.314 eV per atom
# * energy above the most stable polymorph in this dataset: 0.0000 eV/atom

=====

# InBSbTe2 | the Alexandria database | PBE | relaxed
data_InBSbTe2
_chemical_formula_sum 'In1 B1 Sb1 Te2'
_symmetry_space_group_name_H-M 'P 4/m m m'
_symmetry_Int_Tables_number 123
_symmetry_space_group_name_Hall '-P 4 2'
_cell_length_a 5.028
_cell_length_b 5.028
_cell_length_c 4.897
_cell_angle_alpha 90.00
_cell_angle_beta 90.00
_cell_angle_gamma 90.00
loop_
_atom_site_label
_atom_site_fract_x
_atom_site_fract_y
_atom_site_fract_z
In1 0.000 0.000 0.000
B1 0.500 0.500 0.500
Sb1 0.500 0.500 0.000
Te1 0.000 0.500 0.500
# * raw total energy: -3.405 eV per atom
# * energy above the most stable polymorph in this dataset: 0.0000 eV/atom

=====

# SrCaAg2I6 | the Alexandria database | PBE | relaxed
data_SrCaAg2I6
_chemical_formula_sum 'Sr3 Ca3 Ag6 I18'
_symmetry_space_group_name_H-M 'R -3'
_symmetry_Int_Tables_number 148
_symmetry_space_group_name_Hall '-R 3'
_cell_length_a 8.0122
_cell_length_b 8.0122
_cell_length_c 22.7109
_cell_angle_alpha 90.00
_cell_angle_beta 90.00
_cell_angle_gamma 120.00
loop_
_atom_site_label
_atom_site_fract_x
_atom_site_fract_y
_atom_site_fract_z
Sr1 0.0000 0.0000 0.0000
Ca1 0.0000 0.0000 0.5000
Ag1 0.0000 0.0000 0.2453
I1 0.0094 0.6580 0.2479
# * raw total energy: -2.918 eV per atom

=====

# MnAsCSe2 | the Alexandria database | PBE | relaxed
data_MnAsCSe2
_chemical_formula_sum 'Mn1 As1 C1 Se2'
_symmetry_space_group_name_H-M 'P 4/m m m'
_symmetry_Int_Tables_number 123
_symmetry_space_group_name_Hall '-P 4 2'
_cell_length_a 4.605
_cell_length_b 4.605
_cell_length_c 4.603
_cell_angle_alpha 90.00
_cell_angle_beta 90.00
_cell_angle_gamma 90.00
loop_
_atom_site_label
_atom_site_fract_x
_atom_site_fract_y
_atom_site_fract_z
Mn1 0.000 0.000 0.000
As1 0.000 0.000 0.500
C1 0.500 0.500 0.500
Se1 0.000 0.500 0.000
# * raw total energy: -4.387 eV per atom
# * energy above the most stable polymorph in this dataset: 0.8726 eV/atom